1.
Material: LaTb2Pm5
Method: DFT, PBE-GGA
State: relaxed

The calculation puts the formation enthalpy at 0 K at 70 meV/atom.

Structure (CIF):
```
data_LaTb2Pm5
_chemical_formula_sum 'La4 Tb8 Pm20'
_symmetry_space_group_name_H-M 'P -1'
_symmetry_Int_Tables_number 2
_symmetry_space_group_name_Hall '-P 1'
_cell_length_a 8.913
_cell_length_b 11.627
_cell_length_c 11.858
_cell_angle_alpha 75.80
_cell_angle_beta 74.34
_cell_angle_gamma 70.98
loop_
_atom_site_label
_atom_site_type_symbol
_atom_site_fract_x
_atom_site_fract_y
_atom_site_fract_z
La1 La 0.087 0.266 0.343
La2 La 0.386 0.137 0.571
Tb1 Tb 0.208 0.605 0.876
Tb2 Tb 0.267 0.796 0.045
Tb3 Tb 0.367 0.981 0.193
Tb4 Tb 0.438 0.333 0.738
Pm1 Pm 0.012 0.411 0.836
Pm2 Pm 0.012 0.915 0.840
Pm3 Pm 0.095 0.767 0.343
Pm4 Pm 0.184 0.450 0.521
Pm5 Pm 0.185 0.947 0.523
Pm6 Pm 0.217 0.101 0.880
Pm7 Pm 0.276 0.298 0.042
Pm8 Pm 0.371 0.489 0.193
Pm9 Pm 0.385 0.635 0.568
Pm10 Pm 0.439 0.828 0.739
```

---

2.
Material: CdAsW2
Method: DFT, PBE-GGA
State: relaxed

The calculation puts the formation enthalpy at 0 K at 770 meV/atom.

Structure (CIF):
```
data_CdAsW2
_chemical_formula_sum 'Cd2 As2 W4'
_symmetry_space_group_name_H-M 'I -4 m 2'
_symmetry_Int_Tables_number 119
_symmetry_space_group_name_Hall 'I -4 -2'
_cell_length_a 4.065
_cell_length_b 4.065
_cell_length_c 8.228
_cell_angle_alpha 90.00
_cell_angle_beta 90.00
_cell_angle_gamma 90.00
loop_
_atom_site_label
_atom_site_type_symbol
_atom_site_fract_x
_atom_site_fract_y
_atom_site_fract_z
Cd1 Cd 0.000 0.000 0.000
As1 As 0.000 0.500 0.250
W1 W 0.000 0.000 0.500
W2 W 0.000 0.500 0.750
```

---

3.
Material: NaSi3Tc
Method: DFT, PBE-GGA
State: relaxed

The calculation puts the uncorrected formation energy at 6.81 kcal/mol of atoms.

Structure (CIF):
```
data_NaSi3Tc
_chemical_formula_sum 'Na1 Si3 Tc1'
_symmetry_space_group_name_H-M 'P m -3 m'
_symmetry_Int_Tables_number 221
_symmetry_space_group_name_Hall '-P 4 2 3'
_cell_length_a 4.722
_cell_length_b 4.722
_cell_length_c 4.722
_cell_angle_alpha 90.00
_cell_angle_beta 90.00
_cell_angle_gamma 90.00
loop_
_atom_site_label
_atom_site_type_symbol
_atom_site_fract_x
_atom_site_fract_y
_atom_site_fract_z
Na1 Na 0.000 0.000 0.000
Si1 Si 0.000 0.500 0.500
Tc1 Tc 0.500 0.500 0.500
```

---

| no. | excess energy over the best structure of this formula in the dataset (eV per atom) |
| --- | --- |
| 1 | 0.054 |
| 2 | 0.434 |
| 3 | 0.000 |